(1)
Compound: Zr2MnVB
Source: Alexandria
Functional: PBE
Structure: optimized geometry

abc: 4.870 4.870 3.980
angles: 90.00 90.00 90.00
Space group P4/mmm (No. 123)
Symmetry-distinct sites (fractional):
Zr 0.000 0.500 0.000
Mn 0.000 0.000 0.500
V 0.000 0.000 0.000
B 0.500 0.500 0.500

Computed properties:
- total magnetization (μB/cell) = 1.106
- energy of formation from the pure elements (meV/atom) = 1301

(2)
Compound: MnB3W
Source: Alexandria
Functional: PBE
Structure: optimized geometry

abc: 3.135 18.183 3.038
angles: 90.00 90.00 90.00
Space group Cmcm (No. 63)
Symmetry-distinct sites (fractional):
Mn 0.000 0.204 0.250
B 0.000 0.320 0.250
B 0.000 0.374 0.750
B 0.000 0.475 0.750
W 0.000 0.075 0.750

Computed properties:
- total magnetization (μB/cell) = 6.265
- polymorph energy (0 for the lowest one) (meV/atom) = 0.0
- energy of formation from the pure elements (meV/atom) = -311

(3)
Compound: MnBW
Source: Alexandria
Functional: PBE
Structure: optimized geometry

abc: 2.714 2.714 8.862
angles: 90.00 90.00 90.00
Space group I4mm (No. 107)
Symmetry-distinct sites (fractional):
Mn 0.000 0.000 0.000
B 0.000 0.000 0.608
W 0.000 0.000 0.282

Computed properties:
- total magnetization (μB/cell) = 1.410
- energy of formation from the pure elements (meV/atom) = 61

(4)
Compound: Mn2BW
Source: Alexandria
Functional: PBE
Structure: optimized geometry

abc: 6.482 6.482 4.459
angles: 90.00 90.00 90.00
Space group I-42d (No. 122)
Symmetry-distinct sites (fractional):
Mn 0.155 0.250 0.125
B 0.000 0.000 0.000
W 0.000 0.000 0.500

Computed properties:
- total magnetization (μB/cell) = 7.059
- energy of formation from the pure elements (meV/atom) = 250

(5)
Compound: MnB2W
Source: Alexandria
Functional: PBE
Structure: optimized geometry

abc: 5.355 5.355 5.355
angles: 90.00 90.00 90.00
Space group Fm-3m (No. 225)
Symmetry-distinct sites (fractional):
Mn 0.000 0.000 0.000
B 0.250 0.250 0.250
W 0.000 0.000 0.500

Computed properties:
- total magnetization (μB/cell) = 0.000
- polymorph energy (0 for the lowest one) (meV/atom) = 693.5
- energy of formation from the pure elements (meV/atom) = 276

(6)
Compound: MnBW
Source: Alexandria
Functional: PBE
Structure: optimized geometry

abc: 10.340 3.069 6.005
angles: 90.00 90.00 90.00
Space group Pmma (No. 51)
Symmetry-distinct sites (fractional):
Mn 0.124 0.000 0.070
Mn 0.250 0.000 0.704
B 0.088 0.000 0.448
B 0.250 0.500 0.946
W 0.046 0.500 0.730
W 0.250 0.500 0.353

Computed properties:
- total magnetization (μB/cell) = 0.827
- energy of formation from the pure elements (meV/atom) = -383

(7)
Compound: MnB2W
Source: Alexandria
Functional: PBE
Structure: optimized geometry

abc: 3.022 3.108 8.137
angles: 90.00 90.00 90.00
Space group Amm2 (No. 38)
Symmetry-distinct sites (fractional):
Mn 0.000 0.000 0.000
B 0.000 0.000 0.697
B 0.500 0.000 0.571
W 0.500 0.000 0.287

Computed properties:
- total magnetization (μB/cell) = 3.934
- polymorph energy (0 for the lowest one) (meV/atom) = 0.0
- energy of formation from the pure elements (meV/atom) = -417

(8)
Compound: MnB3W
Source: Alexandria
Functional: PBE
Structure: optimized geometry

abc: 4.054 4.054 4.054
angles: 90.00 90.00 90.00
Space group Pm-3m (No. 221)
Symmetry-distinct sites (fractional):
Mn 0.000 0.000 0.000
B 0.000 0.500 0.500
W 0.500 0.500 0.500

Computed properties:
- total magnetization (μB/cell) = 0.000
- polymorph energy (0 for the lowest one) (meV/atom) = 2065.2
- energy of formation from the pure elements (meV/atom) = 1754

(9)
Compound: MnB2W
Source: Alexandria
Functional: PBE
Structure: optimized geometry

abc: 3.1592 3.1592 13.9651
angles: 90.00 90.00 120.00
Space group R-3m (No. 166, hexagonal axes)
Symmetry-distinct sites (fractional):
Mn 0.0000 0.0000 0.0000
B 0.0000 0.0000 0.2594
W 0.0000 0.0000 0.5000

Computed properties:
- total magnetization (μB/cell) = 5.218
- polymorph energy (0 for the lowest one) (meV/atom) = 322.6
- energy of formation from the pure elements (meV/atom) = -95

(10)
Compound: MnBW
Source: Alexandria
Functional: PBE
Structure: optimized geometry

abc: 2.777 17.207 2.845
angles: 90.00 90.00 90.00
Space group Cmcm (No. 63)
Symmetry-distinct sites (fractional):
Mn 0.000 0.068 0.250
B 0.000 0.470 0.250
W 0.000 0.188 0.750

Computed properties:
- total magnetization (μB/cell) = 0.171
- energy of formation from the pure elements (meV/atom) = 171

(11)
Compound: Mn3B4W3
Source: Alexandria
Functional: PBE
Structure: optimized geometry

abc: 3.160 8.112 8.028
angles: 90.00 90.00 90.00
Space group Amm2 (No. 38)
Symmetry-distinct sites (fractional):
Mn 0.000 0.000 0.000
Mn 0.500 0.247 0.930
B 0.500 0.000 0.565
B 0.500 0.000 0.802
B 0.500 0.112 0.169
W 0.000 0.000 0.353
W 0.000 0.178 0.681

Computed properties:
- total magnetization (μB/cell) = 10.970
- energy of formation from the pure elements (meV/atom) = -400

(12)
Compound: Mn2BW
Source: Alexandria
Functional: PBE
Structure: optimized geometry

abc: 4.321 7.457 2.809
angles: 90.00 90.00 90.00
Space group Cmmm (No. 65)
Symmetry-distinct sites (fractional):
Mn 0.000 0.181 0.000
B 0.000 0.000 0.500
W 0.000 0.500 0.500

Computed properties:
- total magnetization (μB/cell) = 0.082
- energy of formation from the pure elements (meV/atom) = 42

(13)
Compound: MnB2W
Source: Alexandria
Functional: PBE
Structure: optimized geometry

abc: 4.492 4.492 9.888
angles: 90.00 90.00 90.00
Space group I-42d (No. 122)
Symmetry-distinct sites (fractional):
Mn 0.000 0.000 0.000
B 0.210 0.250 0.125
W 0.000 0.000 0.500

Computed properties:
- total magnetization (μB/cell) = 0.005
- polymorph energy (0 for the lowest one) (meV/atom) = 1335.0
- energy of formation from the pure elements (meV/atom) = 918

(14)
Compound: MnBW
Source: Alexandria
Functional: PBE
Structure: optimized geometry

abc: 10.146 2.968 4.370
angles: 90.00 102.82 90.00
Space group C2/m (No. 12)
Symmetry-distinct sites (fractional):
Mn 0.081 0.000 0.291
B 0.230 0.500 0.377
W 0.139 0.500 0.830

Computed properties:
- total magnetization (μB/cell) = 0.000
- energy of formation from the pure elements (meV/atom) = -322

(15)
Compound: MnBW2
Source: Alexandria
Functional: PBE
Structure: optimized geometry

abc: 7.253 7.253 4.224
angles: 90.00 90.00 90.00
Space group I-42d (No. 122)
Symmetry-distinct sites (fractional):
Mn 0.000 0.000 0.000
B 0.000 0.000 0.500
W 0.142 0.250 0.625

Computed properties:
- total magnetization (μB/cell) = 5.385
- energy of formation from the pure elements (meV/atom) = 415

(16)
Compound: MnB3W
Source: Alexandria
Functional: PBE
Structure: optimized geometry

abc: 3.686 3.686 3.686
angles: 90.00 90.00 90.00
Space group Pm-3m (No. 221)
Symmetry-distinct sites (fractional):
Mn 0.000 0.000 0.000
B 0.000 0.000 0.500
W 0.500 0.500 0.500

Computed properties:
- total magnetization (μB/cell) = 0.000
- polymorph energy (0 for the lowest one) (meV/atom) = 1308.9
- energy of formation from the pure elements (meV/atom) = 998

(17)
Compound: YMnBW2
Source: Alexandria
Functional: PBE
Structure: optimized geometry

abc: 4.176 4.176 4.811
angles: 90.00 90.00 90.00
Space group P4/mmm (No. 123)
Symmetry-distinct sites (fractional):
Y 0.000 0.000 0.000
Mn 0.500 0.500 0.000
B 0.000 0.000 0.500
W 0.000 0.500 0.500

Computed properties:
- total magnetization (μB/cell) = 0.000
- energy of formation from the pure elements (meV/atom) = 708

(18)
Compound: MnZn2BW
Source: Alexandria
Functional: PBE
Structure: optimized geometry

abc: 4.545 4.545 4.330
angles: 90.00 90.00 90.00
Space group P4/mmm (No. 123)
Symmetry-distinct sites (fractional):
Mn 0.000 0.000 0.000
Zn 0.000 0.500 0.000
B 0.500 0.500 0.500
W 0.000 0.000 0.500

Computed properties:
- total magnetization (μB/cell) = 0.003
- energy of formation from the pure elements (meV/atom) = 1807

(19)
Compound: Y2MnB2
Source: Alexandria
Functional: PBE
Structure: optimized geometry

abc: 6.451 6.451 3.855
angles: 90.00 90.00 90.00
Space group P4/mbm (No. 127)
Symmetry-distinct sites (fractional):
Y 0.184 0.316 0.000
Mn 0.000 0.000 0.500
B 0.096 0.596 0.500

Computed properties:
- total magnetization (μB/cell) = 5.735
- energy of formation from the pure elements (meV/atom) = -99

(20)
Compound: YMn9B4
Source: Alexandria
Functional: PBE
Structure: optimized geometry

abc: 7.294 7.294 11.265
angles: 90.00 90.00 90.00
Space group I4/mcm (No. 140)
Symmetry-distinct sites (fractional):
Y 0.000 0.000 0.250
Mn 0.000 0.500 0.000
Mn 0.081 0.187 0.000
Mn 0.132 0.368 0.181
B 0.165 0.335 0.372

Computed properties:
- total magnetization (μB/cell) = 30.342
- energy of formation from the pure elements (meV/atom) = -96

(21)
Compound: YMnB2
Source: Alexandria
Functional: PBE
Structure: optimized geometry

abc: 3.4994 3.4994 14.0592
angles: 90.00 90.00 120.00
Space group R-3m (No. 166, hexagonal axes)
Symmetry-distinct sites (fractional):
Y 0.0000 0.0000 0.0000
Mn 0.0000 0.0000 0.5000
B 0.0000 0.0000 0.1979

Computed properties:
- total magnetization (μB/cell) = 0.001
- polymorph energy (0 for the lowest one) (meV/atom) = 0.0
- energy of formation from the pure elements (meV/atom) = -169

(22)
Compound: YMnB
Source: Alexandria
Functional: PBE
Structure: optimized geometry

abc: 3.495 3.495 7.960
angles: 90.00 90.00 90.00
Space group P4/nmm (No. 129, origin choice 2)
Symmetry-distinct sites (fractional):
Y 0.250 0.250 0.191
Mn 0.250 0.750 0.500
B 0.250 0.250 0.649

Computed properties:
- total magnetization (μB/cell) = 2.959
- energy of formation from the pure elements (meV/atom) = -315

(23)
Compound: YMnB2
Source: Alexandria
Functional: PBE
Structure: optimized geometry

abc: 4.139 4.139 13.144
angles: 90.00 90.00 90.00
Space group I4_1/amd (No. 141, origin choice 2)
Symmetry-distinct sites (fractional):
Y 0.000 0.250 0.375
Mn 0.000 0.250 0.875
B 0.000 0.000 0.000

Computed properties:
- total magnetization (μB/cell) = 0.002
- polymorph energy (0 for the lowest one) (meV/atom) = 97.2
- energy of formation from the pure elements (meV/atom) = -71

(24)
Compound: Y2Mn17B2
Source: Alexandria
Functional: PBE
Structure: optimized geometry

abc: 9.629 8.595 6.452
angles: 90.00 98.33 90.00
Space group C2/m (No. 12)
Symmetry-distinct sites (fractional):
Y 0.143 0.000 0.345
Mn 0.000 0.225 0.000
Mn 0.000 0.500 0.500
Mn 0.096 0.263 0.665
Mn 0.105 0.500 0.899
Mn 0.141 0.365 0.272
Mn 0.152 0.000 0.867
Mn 0.250 0.250 0.000
B 0.250 0.250 0.500

Computed properties:
- total magnetization (μB/cell) = 4.280
- energy of formation from the pure elements (meV/atom) = -39